Density functional theory data (PBE) for an optimized crystal structure of LiHo3Er3Se8.

Computed properties:
As for the uncorrected formation energy: -1772.5 meV per atom. The crystal system is trigonal.

Geometry as POSCAR:
```
LiHo3Er3Se8
1.0
4.023 2.322 6.572
-4.023 2.322 6.572
0.000 -4.645 6.572
Li Ho Er Se
1 3 3 8
Direct
0.000 0.000 0.000
0.000 0.000 0.500
0.000 0.500 0.000
0.500 0.000 0.000
0.000 0.500 0.500
0.500 0.000 0.500
0.500 0.500 0.000
0.248 0.248 0.751
0.248 0.751 0.248
0.249 0.752 0.752
0.250 0.250 0.250
0.750 0.750 0.750
0.751 0.248 0.248
0.752 0.249 0.752
0.752 0.752 0.249
```